Compound: Gd2HgBi
Source: the Alexandria database
Functional: PBE
Structure: optimized geometry

```
data_Gd2HgBi
_cell_length_a 5.4257
_cell_length_b 5.4257
_cell_length_c 5.4257
_cell_angle_alpha 60.00
_cell_angle_beta 60.00
_cell_angle_gamma 60.00
_space_group_name_H-M_alt 'P 1'
_space_group_IT_number 1
loop_
_space_group_symop_operation_xyz
'x,y,z'
loop_
_atom_site_label
_atom_site_fract_x
_atom_site_fract_y
_atom_site_fract_z
_atom_site_occupancy
Gd1 0.2500 0.2500 0.2500 1
Gd2 0.7500 0.7500 0.7500 1
Hg1 0.0000 0.0000 0.0000 1
Bi1 0.5000 0.5000 0.5000 1
```

Calculated values
SG: Fm-3m
Energy above the lowest structure with this stoichiometry (meV per atom): 56
DFT formation energy (meV per atom): -575

***

Compound: Sr2ErAs4Pd3
Source: the Alexandria database
Functional: PBE
Structure: optimized geometry

```
data_Sr2ErAs4Pd3
_cell_length_a 4.4288
_cell_length_b 4.4288
_cell_length_c 11.2291
_cell_angle_alpha 90.00
_cell_angle_beta 90.00
_cell_angle_gamma 90.00
_space_group_name_H-M_alt 'P 1'
_space_group_IT_number 1
loop_
_space_group_symop_operation_xyz
'x,y,z'
loop_
_atom_site_label
_atom_site_fract_x
_atom_site_fract_y
_atom_site_fract_z
_atom_site_occupancy
Sr1 0.0000 0.5000 0.2306 1
Sr2 0.5000 0.0000 0.7694 1
Er1 0.0000 0.0000 0.5000 1
As1 0.0000 0.0000 0.0000 1
As2 0.0000 0.5000 0.6520 1
As3 0.5000 0.0000 0.3480 1
As4 0.5000 0.5000 0.0000 1
Pd1 0.0000 0.5000 0.8838 1
Pd2 0.5000 0.0000 0.1162 1
Pd3 0.5000 0.5000 0.5000 1
```

Calculated values
SG: P-4m2
DFT formation energy (meV per atom): -912

***

Compound: Mn2TlIr
Source: the Alexandria database
Functional: PBE
Structure: optimized geometry

```
data_Mn2TlIr
_cell_length_a 4.6818
_cell_length_b 4.6818
_cell_length_c 3.0225
_cell_angle_alpha 90.00
_cell_angle_beta 90.00
_cell_angle_gamma 102.82
_space_group_name_H-M_alt 'P 1'
_space_group_IT_number 1
loop_
_space_group_symop_operation_xyz
'x,y,z'
loop_
_atom_site_label
_atom_site_fract_x
_atom_site_fract_y
_atom_site_fract_z
_atom_site_occupancy
Mn1 0.0000 0.5000 0.0000 1
Mn2 0.5000 0.0000 0.0000 1
Tl1 0.0000 0.0000 0.5000 1
Ir1 0.5000 0.5000 0.5000 1
```

Calculated values
SG: Cmmm
Energy above the lowest structure with this stoichiometry (meV per atom): 83
DFT formation energy (meV per atom): 313